Version 1
Material: PmY3Ho3
Method: DFT, PBE
State: optimized geometry

Structure (CIF):
```
data_PmY3Ho3
_chemical_formula_sum 'Pm3 Y9 Ho9'
_space_group_name_H-M_alt 'R 3 m'
_space_group_IT_number 160
_space_group_name_Hall 'R 3 -2"'
_cell_length_a 9.8698
_cell_length_b 9.8698
_cell_length_c 8.2169
_cell_angle_alpha 90.00
_cell_angle_beta 90.00
_cell_angle_gamma 120.00
loop_
_atom_site_label
_atom_site_fract_x
_atom_site_fract_y
_atom_site_fract_z
Pm1 0.0000 0.0000 0.0000
Y1 0.0665 0.5333 0.3860
Ho1 0.0996 0.5498 0.9608
```

---

Version 2
Material: PmY3Ho3
Method: DFT, PBE
State: optimized geometry

Structure (CIF):
```
data_PmY3Ho3
_chemical_formula_sum 'Pm6 Y18 Ho18'
_space_group_name_H-M_alt 'R -3'
_space_group_IT_number 148
_space_group_name_Hall '-R 3'
_cell_length_a 6.1845
_cell_length_b 6.1845
_cell_length_c 42.7049
_cell_angle_alpha 90.00
_cell_angle_beta 90.00
_cell_angle_gamma 120.00
loop_
_atom_site_label
_atom_site_fract_x
_atom_site_fract_y
_atom_site_fract_z
Pm1 0.0000 0.0000 0.1667
Y1 0.0000 0.3317 0.6328
Ho1 0.0001 0.3341 0.4331
```

---

Short version: version 1 is the least stable of them.

---

Version 1
Material: Pm2Y7Ho
Method: DFT, PBE
State: optimized geometry

Structure (CIF):
```
data_Pm2Y7Ho
_chemical_formula_sum 'Pm4 Y14 Ho2'
_space_group_name_H-M_alt 'C m m m'
_space_group_IT_number 65
_space_group_name_Hall '-C 2 2'
_cell_length_a 6.530
_cell_length_b 28.999
_cell_length_c 3.527
_cell_angle_alpha 90.00
_cell_angle_beta 90.00
_cell_angle_gamma 90.00
loop_
_atom_site_label
_atom_site_fract_x
_atom_site_fract_y
_atom_site_fract_z
Pm1 0.000 0.208 0.000
Y1 0.000 0.000 0.000
Y2 0.000 0.314 0.500
Y3 0.246 0.402 0.000
Ho1 0.000 0.500 0.500
```

---

Version 2
Material: Pm2Y7Ho
Method: DFT, PBE
State: optimized geometry

Structure (CIF):
```
data_Pm2Y7Ho
_chemical_formula_sum 'Pm2 Y7 Ho1'
_space_group_name_H-M_alt 'P -1'
_space_group_IT_number 2
_cell_length_a 6.195
_cell_length_b 7.168
_cell_length_c 8.001
_cell_angle_alpha 102.92
_cell_angle_beta 97.30
_cell_angle_gamma 106.72
loop_
_space_group_symop_operation_xyz
'x,y,z'
'-x,-y,-z'
loop_
_atom_site_label
_atom_site_fract_x
_atom_site_fract_y
_atom_site_fract_z
Pm1 0.101 0.200 0.199
Y1 0.100 0.700 0.199
Y2 0.300 0.101 0.600
Y3 0.300 0.599 0.600
Y4 0.500 0.000 0.000
Ho1 0.500 0.500 0.000
```

---

Short version: version 1 is the least stable of them.

---

Version 1
Material: Pm3YHo
Method: DFT, PBE
State: optimized geometry

Structure (CIF):
```
data_Pm3YHo
_chemical_formula_sum 'Pm12 Y4 Ho4'
_space_group_name_H-M_alt 'C m c 21'
_space_group_IT_number 36
_cell_length_a 5.519
_cell_length_b 16.946
_cell_length_c 7.139
_cell_angle_alpha 90.00
_cell_angle_beta 90.00
_cell_angle_gamma 90.00
loop_
_space_group_symop_operation_xyz
'x,y,z'
'-x,-y,z+1/2'
'-x,y,z'
'x,-y,z+1/2'
'x+1/2,y+1/2,z'
'-x+1/2,-y+1/2,z+1/2'
'-x+1/2,y+1/2,z'
'x+1/2,-y+1/2,z+1/2'
loop_
_atom_site_label
_atom_site_fract_x
_atom_site_fract_y
_atom_site_fract_z
Pm1 0.000 0.000 0.000
Pm2 0.000 0.200 0.498
Pm3 0.000 0.391 0.250
Y1 0.000 0.391 0.748
Ho1 0.000 0.199 0.999
```

---

Version 2
Material: Pm3YHo
Method: DFT, PBE
State: optimized geometry

Structure (CIF):
```
data_Pm3YHo
_chemical_formula_sum 'Pm12 Y4 Ho4'
_space_group_name_H-M_alt 'P -1'
_space_group_IT_number 2
_cell_length_a 3.666
_cell_length_b 11.277
_cell_length_c 17.169
_cell_angle_alpha 105.95
_cell_angle_beta 90.05
_cell_angle_gamma 99.34
loop_
_space_group_symop_operation_xyz
'x,y,z'
'-x,-y,-z'
loop_
_atom_site_label
_atom_site_fract_x
_atom_site_fract_y
_atom_site_fract_z
Pm1 0.014 0.031 0.356
Pm2 0.017 0.034 0.857
Pm3 0.216 0.432 0.659
Pm4 0.216 0.434 0.158
Pm5 0.414 0.831 0.960
Pm6 0.415 0.833 0.459
Y1 0.184 0.367 0.442
Y2 0.384 0.765 0.740
Ho1 0.185 0.368 0.943
Ho2 0.382 0.764 0.239
```

---

Short version: version 1 is the least stable of them.

---

Version 1
Material: PmYHo3
Method: DFT, PBE
State: optimized geometry

Structure (CIF):
```
data_PmYHo3
_chemical_formula_sum 'Pm4 Y4 Ho12'
_space_group_name_H-M_alt 'C m c m'
_space_group_IT_number 63
_space_group_name_Hall '-C 2c 2'
_cell_length_a 3.627
_cell_length_b 16.756
_cell_length_c 11.542
_cell_angle_alpha 90.00
_cell_angle_beta 90.00
_cell_angle_gamma 90.00
loop_
_atom_site_label
_atom_site_fract_x
_atom_site_fract_y
_atom_site_fract_z
Pm1 0.000 0.192 0.250
Y1 0.000 0.482 0.750
Ho1 0.000 0.147 0.750
Ho2 0.000 0.345 0.001
```

---

Version 2
Material: PmYHo3
Method: DFT, PBE
State: optimized geometry

Structure (CIF):
```
data_PmYHo3
_chemical_formula_sum 'Pm2 Y2 Ho6'
_space_group_name_H-M_alt 'P 1 21/m 1'
_space_group_IT_number 11
_cell_length_a 6.300
_cell_length_b 5.656
_cell_length_c 9.617
_cell_angle_alpha 90.00
_cell_angle_beta 109.12
_cell_angle_gamma 90.00
loop_
_space_group_symop_operation_xyz
'x,y,z'
'-x,-y,-z'
'-x,y+1/2,-z'
'x,-y+1/2,z'
loop_
_atom_site_label
_atom_site_fract_x
_atom_site_fract_y
_atom_site_fract_z
Pm1 0.234 0.250 0.300
Y1 0.366 0.750 0.900
Ho1 0.033 0.250 0.901
Ho2 0.164 0.750 0.500
Ho3 0.433 0.250 0.699
```

---

Short version: version 1 is the least stable of them.

---

Version 1
Material: Pm3Y4Ho5
Method: DFT, PBE
State: optimized geometry

Structure (CIF):
```
data_Pm3Y4Ho5
_chemical_formula_sum 'Pm3 Y4 Ho5'
_space_group_name_H-M_alt 'P -1'
_space_group_IT_number 2
_cell_length_a 6.183
_cell_length_b 7.143
_cell_length_c 8.744
_cell_angle_alpha 90.01
_cell_angle_beta 90.10
_cell_angle_gamma 90.17
loop_
_space_group_symop_operation_xyz
'x,y,z'
'-x,-y,-z'
loop_
_atom_site_label
_atom_site_fract_x
_atom_site_fract_y
_atom_site_fract_z
Pm1 0.000 0.000 0.000
Pm2 0.167 0.751 0.668
Y1 0.167 0.250 0.667
Y2 0.333 0.500 0.332
Ho1 0.000 0.500 0.000
Ho2 0.335 0.000 0.333
Ho3 0.500 0.250 0.000
```

---

Version 2
Material: Pm3Y4Ho5
Method: DFT, PBE
State: optimized geometry

Structure (CIF):
```
data_Pm3Y4Ho5
_chemical_formula_sum 'Pm6 Y8 Ho10'
_space_group_name_H-M_alt 'C 1 2/m 1'
_space_group_IT_number 12
_cell_length_a 15.983
_cell_length_b 5.927
_cell_length_c 9.302
_cell_angle_alpha 90.00
_cell_angle_beta 116.31
_cell_angle_gamma 90.00
loop_
_space_group_symop_operation_xyz
'x,y,z'
'-x,-y,-z'
'-x,y,-z'
'x,-y,z'
'x+1/2,y+1/2,z'
'-x+1/2,-y+1/2,-z'
'-x+1/2,y+1/2,-z'
'x+1/2,-y+1/2,z'
loop_
_atom_site_label
_atom_site_fract_x
_atom_site_fract_y
_atom_site_fract_z
Pm1 0.000 0.000 0.000
Pm2 0.209 0.500 0.233
Y1 0.081 0.500 0.440
Y2 0.209 0.500 0.878
Ho1 0.000 0.500 0.000
Ho2 0.073 0.000 0.697
Ho3 0.172 0.000 0.386
```

---

Short version: version 2 is the least stable of them.

---

Version 1
Material: Pm5Y2Ho4
Method: DFT, PBE
State: optimized geometry

Structure (CIF):
```
data_Pm5Y2Ho4
_chemical_formula_sum 'Pm10 Y4 Ho8'
_space_group_name_H-M_alt 'C 1 2/m 1'
_space_group_IT_number 12
_cell_length_a 11.884
_cell_length_b 7.036
_cell_length_c 9.654
_cell_angle_alpha 90.00
_cell_angle_beta 113.01
_cell_angle_gamma 90.00
loop_
_space_group_symop_operation_xyz
'x,y,z'
'-x,-y,-z'
'-x,y,-z'
'x,-y,z'
'x+1/2,y+1/2,z'
'-x+1/2,-y+1/2,-z'
'-x+1/2,y+1/2,-z'
'x+1/2,-y+1/2,z'
loop_
_atom_site_label
_atom_site_fract_x
_atom_site_fract_y
_atom_site_fract_z
Pm1 0.000 0.000 0.000
Pm2 0.104 0.267 0.316
Y1 0.130 0.000 0.652
Ho1 0.142 0.500 0.647
Ho2 0.152 0.500 0.997
```

---

Version 2
Material: Pm5Y2Ho4
Method: DFT, PBE
State: optimized geometry

Structure (CIF):
```
data_Pm5Y2Ho4
_chemical_formula_sum 'Pm10 Y4 Ho8'
_space_group_name_H-M_alt 'C 1 2/m 1'
_space_group_IT_number 12
_cell_length_a 16.721
_cell_length_b 6.724
_cell_length_c 6.655
_cell_angle_alpha 90.00
_cell_angle_beta 100.61
_cell_angle_gamma 90.00
loop_
_space_group_symop_operation_xyz
'x,y,z'
'-x,-y,-z'
'-x,y,-z'
'x,-y,z'
'x+1/2,y+1/2,z'
'-x+1/2,-y+1/2,-z'
'-x+1/2,y+1/2,-z'
'x+1/2,-y+1/2,z'
loop_
_atom_site_label
_atom_site_fract_x
_atom_site_fract_y
_atom_site_fract_z
Pm1 0.000 0.000 0.000
Pm2 0.089 0.266 0.404
Y1 0.203 0.000 0.810
Ho1 0.091 0.500 0.907
Ho2 0.245 0.000 0.321
```

---

Short version: version 1 is the least stable of them.

---

Version 1
Material: Pm3Y2Ho6
Method: DFT, PBE
State: optimized geometry

Structure (CIF):
```
data_Pm3Y2Ho6
_chemical_formula_sum 'Pm3 Y2 Ho6'
_space_group_name_H-M_alt 'P -1'
_space_group_IT_number 2
_cell_length_a 6.167
_cell_length_b 7.953
_cell_length_c 7.989
_cell_angle_alpha 107.41
_cell_angle_beta 104.75
_cell_angle_gamma 97.28
loop_
_space_group_symop_operation_xyz
'x,y,z'
'-x,-y,-z'
loop_
_atom_site_label
_atom_site_fract_x
_atom_site_fract_y
_atom_site_fract_z
Pm1 0.000 0.000 0.000
Pm2 0.364 0.274 0.454
Y1 0.091 0.817 0.363
Ho1 0.182 0.636 0.729
Ho2 0.274 0.455 0.090
Ho3 0.454 0.092 0.820
```

---

Version 2
Material: Pm3Y2Ho6
Method: DFT, PBE
State: optimized geometry

Structure (CIF):
```
data_Pm3Y2Ho6
_chemical_formula_sum 'Pm6 Y4 Ho12'
_space_group_name_H-M_alt 'I 4/m m m'
_space_group_IT_number 139
_space_group_name_Hall '-I 4 2'
_cell_length_a 4.741
_cell_length_b 4.741
_cell_length_c 33.399
_cell_angle_alpha 90.00
_cell_angle_beta 90.00
_cell_angle_gamma 90.00
loop_
_atom_site_label
_atom_site_fract_x
_atom_site_fract_y
_atom_site_fract_z
Pm1 0.000 0.000 0.000
Pm2 0.000 0.000 0.203
Y1 0.000 0.000 0.454
Ho1 0.000 0.000 0.306
Ho2 0.000 0.500 0.122
```

---

Short version: version 2 is the least stable of them.

---

Version 1
Material: Pm12Y7Ho
Method: DFT, PBE
State: optimized geometry

Structure (CIF):
```
data_Pm12Y7Ho
_chemical_formula_sum 'Pm36 Y21 Ho3'
_space_group_name_H-M_alt 'R -3'
_space_group_IT_number 148
_space_group_name_Hall '-R 3'
_cell_length_a 18.8459
_cell_length_b 18.8459
_cell_length_c 6.7989
_cell_angle_alpha 90.00
_cell_angle_beta 90.00
_cell_angle_gamma 120.00
loop_
_atom_site_label
_atom_site_fract_x
_atom_site_fract_y
_atom_site_fract_z
Pm1 0.0006 0.2119 0.2829
Pm2 0.0057 0.5350 0.7429
Y1 0.0000 0.0000 0.5000
Y2 0.0065 0.1546 0.7768
Ho1 0.0000 0.0000 0.0000
```

---

Version 2
Material: Pm12Y7Ho
Method: DFT, PBE
State: optimized geometry

Structure (CIF):
```
data_Pm12Y7Ho
_chemical_formula_sum 'Pm36 Y21 Ho3'
_space_group_name_H-M_alt 'R -3'
_space_group_IT_number 148
_space_group_name_Hall '-R 3'
_cell_length_a 12.2686
_cell_length_b 12.2686
_cell_length_c 15.7684
_cell_angle_alpha 90.00
_cell_angle_beta 90.00
_cell_angle_gamma 120.00
loop_
_atom_site_label
_atom_site_fract_x
_atom_site_fract_y
_atom_site_fract_z
Pm1 0.0206 0.4478 0.2201
Pm2 0.0571 0.5904 0.5814
Y1 0.0000 0.0000 0.0000
Y2 0.0525 0.1875 0.2976
Ho1 0.0000 0.0000 0.5000
```

---

Short version: version 1 is the least stable of them.

---

Version 1
Material: Pm2Y2Ho5
Method: DFT, PBE
State: optimized geometry

Structure (CIF):
```
data_Pm2Y2Ho5
_chemical_formula_sum 'Pm4 Y4 Ho10'
_space_group_name_H-M_alt 'C 1 2/m 1'
_space_group_IT_number 12
_cell_length_a 15.117
_cell_length_b 5.034
_cell_length_c 7.969
_cell_angle_alpha 90.00
_cell_angle_beta 108.39
_cell_angle_gamma 90.00
loop_
_space_group_symop_operation_xyz
'x,y,z'
'-x,-y,-z'
'-x,y,-z'
'x,-y,z'
'x+1/2,y+1/2,z'
'-x+1/2,-y+1/2,-z'
'-x+1/2,y+1/2,-z'
'x+1/2,-y+1/2,z'
loop_
_atom_site_label
_atom_site_fract_x
_atom_site_fract_y
_atom_site_fract_z
Pm1 0.112 0.000 0.168
Y1 0.056 0.500 0.832
Ho1 0.000 0.000 0.500
Ho2 0.167 0.500 0.500
Ho3 0.222 0.000 0.831
```

---

Version 2
Material: Pm2Y2Ho5
Method: DFT, PBE
State: optimized geometry

Structure (CIF):
```
data_Pm2Y2Ho5
_chemical_formula_sum 'Pm8 Y8 Ho20'
_space_group_name_H-M_alt 'I m a 2'
_space_group_IT_number 46
_cell_length_a 14.911
_cell_length_b 11.806
_cell_length_c 6.708
_cell_angle_alpha 90.00
_cell_angle_beta 90.00
_cell_angle_gamma 90.00
loop_
_space_group_symop_operation_xyz
'x,y,z'
'-x,-y,z'
'-x+1/2,y,z'
'x+1/2,-y,z'
'x+1/2,y+1/2,z+1/2'
'-x+1/2,-y+1/2,z+1/2'
'-x,y+1/2,z+1/2'
'x,-y+1/2,z+1/2'
loop_
_atom_site_label
_atom_site_fract_x
_atom_site_fract_y
_atom_site_fract_z
Pm1 0.000 0.000 0.000
Pm2 0.250 0.010 0.908
Y1 0.126 0.504 0.956
Ho1 0.052 0.743 0.305
Ho2 0.142 0.235 0.116
Ho3 0.250 0.749 0.113
```

---

Short version: version 2 is the least stable of them.

---

Version 1
Material: PmY5Ho5
Method: DFT, PBE
State: optimized geometry

Structure (CIF):
```
data_PmY5Ho5
_chemical_formula_sum 'Pm1 Y5 Ho5'
_space_group_name_H-M_alt 'P -1'
_space_group_IT_number 2
_cell_length_a 6.861
_cell_length_b 6.950
_cell_length_c 8.330
_cell_angle_alpha 75.97
_cell_angle_beta 77.21
_cell_angle_gamma 72.42
loop_
_space_group_symop_operation_xyz
'x,y,z'
'-x,-y,-z'
loop_
_atom_site_label
_atom_site_fract_x
_atom_site_fract_y
_atom_site_fract_z
Pm1 0.000 0.000 0.000
Y1 0.000 0.500 0.000
Y2 0.324 0.270 0.652
Y3 0.357 0.746 0.721
Ho1 0.155 0.132 0.358
Ho2 0.207 0.640 0.314
Ho3 0.500 0.000 0.000
```

---

Version 2
Material: PmY5Ho5
Method: DFT, PBE
State: optimized geometry

Structure (CIF):
```
data_PmY5Ho5
_chemical_formula_sum 'Pm2 Y10 Ho10'
_space_group_name_H-M_alt 'C 1 2/m 1'
_space_group_IT_number 12
_cell_length_a 18.878
_cell_length_b 5.915
_cell_length_c 6.949
_cell_angle_alpha 90.00
_cell_angle_beta 111.08
_cell_angle_gamma 90.00
loop_
_space_group_symop_operation_xyz
'x,y,z'
'-x,-y,-z'
'-x,y,-z'
'x,-y,z'
'x+1/2,y+1/2,z'
'-x+1/2,-y+1/2,-z'
'-x+1/2,y+1/2,-z'
'x+1/2,-y+1/2,z'
loop_
_atom_site_label
_atom_site_fract_x
_atom_site_fract_y
_atom_site_fract_z
Pm1 0.000 0.000 0.000
Y1 0.000 0.500 0.000
Y2 0.179 0.000 0.933
Y3 0.180 0.000 0.426
Ho1 0.000 0.000 0.500
Ho2 0.124 0.500 0.626
Ho3 0.169 0.500 0.171
```

---

Short version: version 2 is the least stable of them.